No. 1
DFT (GGA-PBE) results for a geometry-optimized CdNiH3 structure.

Cell: 4.6355 4.6355 4.8299 Å, 90.00 90.00 120.00°
Element x y z (fractional)
Cd: 0.3333 0.6667 0.2500
Cd: 0.6667 0.3333 0.7500
Ni: 0.0000 0.0000 0.0000
Ni: 0.0000 0.0000 0.5000
H: 0.1481 0.2963 0.7500
H: 0.1481 0.8519 0.7500
H: 0.2963 0.1481 0.2500
H: 0.7037 0.8519 0.7500
H: 0.8519 0.1481 0.2500
H: 0.8519 0.7037 0.2500

Theoretical density = 6434 kg/m3
Electronic total energy = -16.09 eV/f.u.

=====

No. 2
DFT (GGA-PBE) results for a geometry-optimized CdNi2H3 structure.

Cell: 5.4122 5.4122 8.8558 Å, 112.07 112.07 29.75°
Element x y z (fractional)
Cd: 0.0230 0.0230 0.2067
Cd: 0.9770 0.9770 0.7933
Ni: 0.2487 0.2487 0.6185
Ni: 0.2668 0.2668 0.1327
Ni: 0.7332 0.7332 0.8673
Ni: 0.7513 0.7513 0.3815
H: 0.1699 0.1699 0.7425
H: 0.3176 0.3176 0.9779
H: 0.3266 0.3266 0.4842
H: 0.6734 0.6734 0.5158
H: 0.6824 0.6824 0.0221
H: 0.8301 0.8301 0.2575

Theoretical density = 6520 kg/m3
Electronic total energy = -22.54 eV/f.u.

=====

No. 3
DFT (GGA-PBE) results for a geometry-optimized CdNi2H structure.

Cell: 6.6167 6.6167 6.6167 Å, 24.45 24.45 24.45°
Element x y z (fractional)
Cd: 0.0000 0.0000 0.0000
Ni: 0.2176 0.2176 0.2176
Ni: 0.7824 0.7824 0.7824
H: 0.5000 0.5000 0.5000

Theoretical density = 8784 kg/m3
ΔE to the lowest computed polymorph = 0.072 eV/atom
Electronic total energy = -15.55 eV/f.u.

=====

No. 4
DFT (GGA-PBE) results for a geometry-optimized CdNi4H8 structure.

Cell: 5.1571 5.1571 5.0954 Å, 103.84 103.84 59.86°
Element x y z (fractional)
Cd: 0.0000 0.0000 0.0000
Ni: 0.2433 0.2433 0.4563
Ni: 0.2509 0.7491 0.5000
Ni: 0.7491 0.2509 0.5000
Ni: 0.7567 0.7567 0.5437
H: 0.1169 0.1169 0.6484
H: 0.1272 0.5830 0.6662
H: 0.3920 0.3920 0.3110
H: 0.4170 0.8728 0.3338
H: 0.5830 0.1272 0.6662
H: 0.6080 0.6080 0.6890
H: 0.8728 0.4170 0.3338
H: 0.8831 0.8831 0.3516

Theoretical density = 5237 kg/m3
Electronic total energy = -50.96 eV/f.u.

=====

No. 5
DFT (GGA-PBE) results for a geometry-optimized CdNi2H structure.

Cell: 5.0990 5.0990 5.0990 Å, 119.85 119.85 90.27°
Element x y z (fractional)
Cd: 0.0000 0.0000 0.0000
Cd: 0.7500 0.2500 0.5000
Ni: 0.3738 0.6250 0.2488
Ni: 0.3750 0.6238 0.7488
Ni: 0.3762 0.1250 0.7512
Ni: 0.8750 0.6262 0.2512
H: 0.2500 0.7500 0.5000
H: 0.5000 0.5000 0.0000

Theoretical density = 8158 kg/m3
ΔE to the lowest computed polymorph = 0.000 eV/atom
Electronic total energy = -15.83 eV/f.u.

=====

No. 6
DFT (GGA-PBE) results for a geometry-optimized Cd2NiH4 structure.

Cell: 7.2182 7.2182 7.2182 Å, 153.69 153.69 37.55°
Element x y z (fractional)
Cd: 0.1667 0.1667 0.0000
Cd: 0.8333 0.8333 0.0000
Ni: 0.5000 0.5000 0.0000
H: 0.0000 0.5000 0.5000
H: 0.3870 0.3870 0.0000
H: 0.5000 0.0000 0.5000
H: 0.6130 0.6130 0.0000

Theoretical density = 6473 kg/m3
Electronic total energy = -19.31 eV/f.u.